# Be4Re3

A relaxed structure of Be4Re3 (PBE, Alexandria).

Computed properties:
- symmetry = P6/mmm, No. 191
- offset from the most stable computed form (meV per atom) = 429
- formation energy (meV/atom) = 450.4

Cell: 5.0391 5.0391 4.2045 Å, 90.00 90.00 120.00°
Atoms (fractional coordinates):
Be1 0.0000 0.0000 0.2283
Be2 0.0000 0.0000 0.7717
Be3 0.3333 0.6667 0.5000
Be4 0.6667 0.3333 0.5000
Re1 0.0000 0.5000 0.0000
Re2 0.5000 0.0000 0.0000
Re3 0.5000 0.5000 0.0000